Entry 1:
Material: YP2Ir
Method: DFT, PBE-GGA
State: optimized geometry

The structure belongs to space group R-3m (No. 166, hexagonal axes); the cell edges are 3.8710, 3.8710 and 16.1794 Å and the angles 90.00°, 90.00° and 120.00°. Symmetry generates all atoms from Y at (0.0000, 0.0000, 0.0000), P at (0.0000, 0.0000, 0.2291) and Ir at (0.0000, 0.0000, 0.5000).

Its formation energy is -0.9956 eV/atom. The calculation puts the distance to the lowest polymorph of the same formula at 0 meV/atom. The calculation puts the density of states at the Fermi level at 0.1317 states/eV per atom. The calculation puts the total magnetization at 0.00 μB per formula unit.

***

Entry 2:
Material: Y2PIr
Method: DFT, PBE-GGA
State: optimized geometry

The structure belongs to space group F-43m (No. 216); the cell edges are 6.7926, 6.7926 and 6.7926 Å and the angles 90.00°, 90.00° and 90.00°. Symmetry generates all atoms from Y at (0.0000, 0.0000, 0.0000), Y at (0.2500, 0.2500, 0.2500), P at (0.2500, 0.2500, 0.7500) and Ir at (0.0000, 0.0000, 0.5000).

Its formation energy is -0.2556 eV/atom. The calculation puts the density of states at the Fermi level at 0.4887 states/eV per atom. The calculation puts the total magnetization at 0.00 μB per formula unit.

***

Entry 3:
Material: Y2PIr
Method: DFT, PBE-GGA
State: optimized geometry

The structure belongs to space group P4mm (No. 99); the cell edges are 3.3306, 3.3306 and 7.9175 Å and the angles 90.00°, 90.00° and 90.00°. Symmetry generates all atoms from Y at (0.0000, 0.0000, 0.0000), Y at (0.5000, 0.5000, 0.3775), P at (0.5000, 0.5000, 0.7455) and Ir at (0.0000, 0.0000, 0.6298).

Its formation energy is -0.3818 eV/atom. The calculation puts the density of states at the Fermi level at 0.9339 states/eV per atom. The calculation puts the total magnetization at 0.00 μB per formula unit.

***

Entry 4:
Material: Y2PIr
Method: DFT, PBE-GGA
State: optimized geometry

The structure belongs to space group I-4m2 (No. 119); the cell edges are 3.9892, 3.9892 and 10.4447 Å and the angles 90.00°, 90.00° and 90.00°. Symmetry generates all atoms from Y at (0.0000, 0.0000, 0.0000), Y at (0.0000, 0.5000, 0.2500), P at (0.0000, 0.0000, 0.5000) and Ir at (0.0000, 0.5000, 0.7500).

Its formation energy is -0.7835 eV/atom. The calculation puts the density of states at the Fermi level at 0.2479 states/eV per atom. The calculation puts the total magnetization at 0.00 μB per formula unit.

***

Entry 5:
Material: YP2Ir2
Method: DFT, PBE-GGA
State: optimized geometry

The structure belongs to space group P4/nmm (No. 129, origin choice 2); the cell edges are 4.1322, 4.1322 and 9.5573 Å and the angles 90.00°, 90.00° and 90.00°. Symmetry generates all atoms from Y at (0.2500, 0.2500, 0.2423), P at (0.2500, 0.2500, 0.6409), P at (0.2500, 0.7500, 0.0000), Ir at (0.2500, 0.2500, 0.8849) and Ir at (0.2500, 0.7500, 0.5000).

Its formation energy is -0.9782 eV/atom. The calculation puts the density of states at the Fermi level at 0.2843 states/eV per atom. The calculation puts the total magnetization at 0.00 μB per formula unit.

***

Entry 6:
Material: YP2Ir
Method: DFT, PBE-GGA
State: optimized geometry

The structure belongs to space group Cm (No. 8); the cell edges are 8.5343, 3.5116 and 4.9794 Å and the angles 90.00°, 105.48° and 90.00°. Symmetry generates all atoms from Y at (0.0000, 0.0000, 0.0000), P at (0.2389, 0.0000, 0.7116), P at (0.4916, 0.0000, 0.4984) and Ir at (0.2704, 0.5000, 0.4098).

Its formation energy is -0.6124 eV/atom. The calculation puts the distance to the lowest polymorph of the same formula at 383 meV/atom. The calculation puts the density of states at the Fermi level at 0.4672 states/eV per atom. The calculation puts the total magnetization at 0.00 μB per formula unit.

***

Entry 7:
Material: YP2Ir
Method: DFT, PBE-GGA
State: optimized geometry

The structure belongs to space group Cmmm (No. 65); the cell edges are 3.9900, 6.1025 and 6.2808 Å and the angles 90.00°, 90.00° and 90.00°. Symmetry generates all atoms from Y at (0.0000, 0.0000, 0.0000), P at (0.0000, 0.5000, 0.2978) and Ir at (0.0000, 0.0000, 0.5000).

Its formation energy is -0.4239 eV/atom. The calculation puts the distance to the lowest polymorph of the same formula at 572 meV/atom. The calculation puts the density of states at the Fermi level at 0.8492 states/eV per atom. The calculation puts the total magnetization at 0.00 μB per formula unit.

***

Entry 8:
Material: Y2PIr
Method: DFT, PBE-GGA
State: optimized geometry

The structure belongs to space group P4mm (No. 99); the cell edges are 4.0287, 4.0287 and 5.7305 Å and the angles 90.00°, 90.00° and 90.00°. Symmetry generates all atoms from Y at (0.0000, 0.0000, 0.0000), Y at (0.5000, 0.5000, 0.4779), P at (0.5000, 0.5000, 0.9799) and Ir at (0.0000, 0.0000, 0.4921).

Its formation energy is -0.9392 eV/atom. The calculation puts the density of states at the Fermi level at 0.0391 states/eV per atom. The calculation puts the total magnetization at 0.00 μB per formula unit.

***

- What is the formation energy in the third record?
  -0.3818 eV/atom

***

- What is the formation energy in the sixth record?
  -0.6124 eV/atom

***

- Among the records above, which one has the highest formation energy?
  number 2

***

- Which formula does entry 6 have?
  YP2Ir